1.
Computed, not measured: a geometry-optimized Ag2SnRh structure at the GGA-PBE level of DFT.

Unit cell a=10.6117 b=10.6117 c=10.6117 alpha=159.05 beta=159.05 gamma=29.80
Closest atoms and distances in Å follow each position.
Sites, in units of the cell vectors:
Ag  0.1197  0.6250  0.9947  4 Ag 2.70-2.76, 2 Rh 2.90, 2 Sn 2.91
Ag  0.3750  0.3697  0.4947  4 Ag 2.70-2.76, 2 Rh 2.90, 2 Sn 2.91
Ag  0.6303  0.1250  0.0053  4 Ag 2.70-2.76, 2 Rh 2.90, 2 Sn 2.91
Ag  0.8750  0.8803  0.5053  4 Ag 2.70-2.76, 2 Rh 2.90, 2 Sn 2.91
Sn  0.2500  0.7500  0.5000  4 Rh 2.73, 4 Ag 2.91
Sn  0.5000  0.5000  0.0000  4 Rh 2.73, 4 Ag 2.91
Rh  0.0000  0.0000  0.0000  4 Sn 2.73, 4 Ag 2.90
Rh  0.7500  0.2500  0.5000  4 Sn 2.73, 4 Ag 2.90

Calculated values
N(E_F) = 2.003 states/eV/f.u.
Energy = -4.18 eV per atom

=====

2.
Computed, not measured: a geometry-optimized AgSn2Rh2 structure at the GGA-PBE level of DFT.

Unit cell a=7.6347 b=7.6347 c=3.1042 alpha=90.00 beta=90.00 gamma=90.00
Closest atoms and distances in Å follow each position.
Sites, in units of the cell vectors:
Ag  0.0000  0.0000  0.0000  4 Rh 2.95, 2 Ag 3.10, 8 Sn 3.27
Ag  0.5000  0.5000  0.0000  4 Rh 2.95, 2 Ag 3.10, 8 Sn 3.27
Sn  0.1587  0.3413  0.5000  6 Rh 2.68-2.76
Sn  0.3413  0.8413  0.5000  6 Rh 2.68-2.76
Sn  0.6587  0.1587  0.5000  6 Rh 2.68-2.76
Sn  0.8413  0.6587  0.5000  6 Rh 2.68-2.76
Rh  0.1389  0.6389  0.0000  6 Sn 2.68-2.76, 2 Ag 2.95, 1 Rh 3.00
Rh  0.3611  0.1389  0.0000  6 Sn 2.68-2.76, 2 Ag 2.95, 1 Rh 3.00
Rh  0.6389  0.8611  0.0000  6 Sn 2.68-2.76, 2 Ag 2.95, 1 Rh 3.00
Rh  0.8611  0.3611  0.0000  6 Sn 2.68-2.76, 2 Ag 2.95, 1 Rh 3.00

Calculated values
N(E_F) = 1.543 states/eV/f.u.
Energy = -5.44 eV per atom

=====

3.
Computed, not measured: a geometry-optimized AgSnRh structure at the GGA-PBE level of DFT.

Unit cell a=4.4977 b=4.4977 c=3.1202 alpha=90.00 beta=90.00 gamma=120.00
Closest atoms and distances in Å follow each position.
Sites, in units of the cell vectors:
Ag  0.0000  0.0000  0.0000  6 Sn 2.89-3.20, 6 Rh 2.96-3.10, 2 Ag 3.12
Sn  0.6667  0.3333  0.5970  3 Rh 2.63, 3 Ag 2.89
Rh  0.3333  0.6667  0.4560  3 Sn 2.63

Calculated values
N(E_F) = 1.140 states/eV/f.u.
Energy = -4.83 eV per atom

=====

4.
Computed, not measured: a geometry-optimized AgSn6Rh structure at the GGA-PBE level of DFT.

Unit cell a=6.5613 b=6.5840 c=6.6375 alpha=119.60 beta=90.03 gamma=119.86
Closest atoms and distances in Å follow each position.
Sites, in units of the cell vectors:
Ag  0.0000  0.0000  0.0000  6 Sn 2.87-2.88
Sn  0.0433  0.7685  0.2562  1 Rh 2.63, 1 Ag 2.88
Sn  0.2787  0.7919  0.7477  1 Rh 2.63, 1 Ag 2.87
Sn  0.4823  0.5296  0.2535  1 Rh 2.63, 1 Ag 2.87
Sn  0.5177  0.4704  0.7465  1 Rh 2.63, 1 Ag 2.87
Sn  0.7213  0.2081  0.2523  1 Rh 2.63, 1 Ag 2.87
Sn  0.9567  0.2315  0.7438  1 Rh 2.63, 1 Ag 2.88
Rh  0.5000  0.0000  0.5000  6 Sn 2.63

Calculated values
N(E_F) = 3.873 states/eV/f.u.
Energy = -4.31 eV per atom

=====

5.
Computed, not measured: a geometry-optimized AgSnRh structure at the GGA-PBE level of DFT.

Unit cell a=7.7671 b=7.7671 c=4.5103 alpha=90.00 beta=90.00 gamma=156.95
Closest atoms and distances in Å follow each position.
Sites, in units of the cell vectors:
Ag  0.2267  0.7733  0.7500  6 Ag 2.83-3.10, 2 Rh 2.92, 2 Sn 3.05
Ag  0.7733  0.2267  0.2500  6 Ag 2.83-3.10, 2 Rh 2.92, 2 Sn 3.05
Sn  0.0914  0.9086  0.2500  6 Rh 2.77-2.83, 2 Ag 3.05
Sn  0.9086  0.0914  0.7500  6 Rh 2.77-2.83, 2 Ag 3.05
Rh  0.4361  0.5639  0.2500  6 Sn 2.77-2.83, 2 Ag 2.92, 2 Rh 2.98
Rh  0.5639  0.4361  0.7500  6 Sn 2.77-2.83, 2 Ag 2.92, 2 Rh 2.98

Calculated values
N(E_F) = 1.654 states/eV/f.u.
Energy = -4.94 eV per atom

=====

6.
Computed, not measured: a geometry-optimized Ag2SnRh structure at the GGA-PBE level of DFT.

Unit cell a=10.6979 b=10.6979 c=10.6979 alpha=15.82 beta=15.82 gamma=15.82
Closest atoms and distances in Å follow each position.
Sites, in units of the cell vectors:
Ag  0.0847  0.0847  0.0847  1 Rh 2.68, 6 Ag 2.94
Ag  0.9153  0.9153  0.9153  1 Rh 2.68, 6 Ag 2.94
Sn  0.5000  0.5000  0.5000  6 Sn 2.94, 6 Ag 3.10
Rh  0.0000  0.0000  0.0000  2 Ag 2.68, 6 Rh 2.94

Calculated values
N(E_F) = 4.127 states/eV/f.u.
Energy = -3.77 eV per atom

=====

7.
Computed, not measured: a geometry-optimized AgSn2Rh2 structure at the GGA-PBE level of DFT.

Unit cell a=6.5351 b=6.5351 c=6.5351 alpha=142.14 beta=142.14 gamma=54.62
Closest atoms and distances in Å follow each position.
Sites, in units of the cell vectors:
Ag  0.0000  0.0000  0.0000  8 Sn 3.31, 8 Rh 3.60
Sn  0.3796  0.3796  0.0000  4 Rh 2.60, 1 Sn 2.80
Sn  0.6204  0.6204  0.0000  4 Rh 2.60, 1 Sn 2.80
Rh  0.2500  0.7500  0.5000  4 Sn 2.60
Rh  0.7500  0.2500  0.5000  4 Sn 2.60

Calculated values
N(E_F) = 2.038 states/eV/f.u.
Energy = -5.16 eV per atom

=====

8.
Computed, not measured: a geometry-optimized SrAgSnRh2 structure at the GGA-PBE level of DFT.

Unit cell a=4.9568 b=4.9568 c=5.8690 alpha=90.00 beta=90.00 gamma=90.00
Closest atoms and distances in Å follow each position.
Sites, in units of the cell vectors:
Sr  0.0000  0.0000  0.0000  4 Rh 2.48
Ag  0.5000  0.5000  0.5000  4 Sn 3.50, 8 Rh 3.84
Sn  0.0000  0.0000  0.5000  2 Sr 2.93
Rh  0.0000  0.5000  0.0000  2 Sr 2.48
Rh  0.5000  0.0000  0.0000  2 Sr 2.48

Calculated values
N(E_F) = 6.119 states/eV/f.u.
Energy = -3.18 eV per atom

=====

9.
Computed, not measured: a geometry-optimized SrAgSn2Rh structure at the GGA-PBE level of DFT.

Unit cell a=5.8741 b=5.8741 c=5.3329 alpha=90.00 beta=90.00 gamma=90.00
Closest atoms and distances in Å follow each position.
Sites, in units of the cell vectors:
Sr  0.0000  0.0000  0.0000  2 Ag 2.67, 4 Sn 2.94
Ag  0.0000  0.0000  0.5000  2 Sr 2.67
Sn  0.0000  0.5000  0.0000  2 Sr 2.94
Sn  0.5000  0.0000  0.0000  2 Sr 2.94
Rh  0.5000  0.5000  0.5000  8 Sn 3.97, 4 Ag 4.15

Calculated values
N(E_F) = 6.983 states/eV/f.u.
Energy = -2.44 eV per atom

=====

10.
Computed, not measured: a geometry-optimized ThAgSnRh structure at the GGA-PBE level of DFT.

Unit cell a=4.9651 b=4.9651 c=4.9651 alpha=60.00 beta=60.00 gamma=60.00
Closest atoms and distances in Å follow each position.
Sites, in units of the cell vectors:
Th  0.0000  0.0000  0.0000  4 Ag 3.04, 4 Rh 3.04
Ag  0.7500  0.7500  0.7500  4 Th 3.04, 4 Sn 3.04
Sn  0.5000  0.5000  0.5000  4 Ag 3.04, 4 Rh 3.04
Rh  0.2500  0.2500  0.2500  4 Th 3.04, 4 Sn 3.04

Calculated values
N(E_F) = 2.270 states/eV/f.u.
Energy = -5.86 eV per atom

=====

11.
Computed, not measured: a geometry-optimized TiAgSnRh structure at the GGA-PBE level of DFT.

Unit cell a=4.5923 b=4.5923 c=4.5923 alpha=60.00 beta=60.00 gamma=60.00
Closest atoms and distances in Å follow each position.
Sites, in units of the cell vectors:
Ti  0.0000  0.0000  0.0000  4 Rh 2.81, 4 Ag 2.81
Ag  0.7500  0.7500  0.7500  4 Sn 2.81, 4 Ti 2.81
Sn  0.5000  0.5000  0.5000  4 Rh 2.81, 4 Ag 2.81
Rh  0.2500  0.2500  0.2500  4 Sn 2.81, 4 Ti 2.81

Calculated values
N(E_F) = 1.314 states/eV/f.u.
Energy = -5.84 eV per atom

=====

12.
Computed, not measured: a geometry-optimized TmAgSnRh structure at the GGA-PBE level of DFT.

Unit cell a=4.7916 b=4.7916 c=4.7916 alpha=60.00 beta=60.00 gamma=60.00
Closest atoms and distances in Å follow each position.
Sites, in units of the cell vectors:
Tm  0.0000  0.0000  0.0000  4 Ag 2.93, 4 Rh 2.93
Ag  0.2500  0.2500  0.2500  4 Sn 2.93, 4 Tm 2.93
Sn  0.5000  0.5000  0.5000  4 Rh 2.93, 4 Ag 2.93
Rh  0.7500  0.7500  0.7500  4 Sn 2.93, 4 Tm 2.93

Calculated values
N(E_F) = 2.761 states/eV/f.u.
Energy = -5.21 eV per atom

=====

13.
Computed, not measured: a geometry-optimized ZnAgSnRh structure at the GGA-PBE level of DFT.

Unit cell a=4.5758 b=4.5758 c=4.5758 alpha=60.00 beta=60.00 gamma=60.00
Closest atoms and distances in Å follow each position.
Sites, in units of the cell vectors:
Zn  0.0000  0.0000  0.0000  4 Ag 2.80, 4 Rh 2.80
Ag  0.7500  0.7500  0.7500  4 Sn 2.80, 4 Zn 2.80
Sn  0.5000  0.5000  0.5000  4 Rh 2.80, 4 Ag 2.80
Rh  0.2500  0.2500  0.2500  4 Sn 2.80, 4 Zn 2.80

Calculated values
N(E_F) = 3.238 states/eV/f.u.
Energy = -4.00 eV per atom

=====

14.
Computed, not measured: a geometry-optimized Zr2AgSnRh structure at the GGA-PBE level of DFT.

Unit cell a=5.0478 b=5.0478 c=4.8639 alpha=90.00 beta=90.00 gamma=90.00
Closest atoms and distances in Å follow each position.
Sites, in units of the cell vectors:
Zr  0.0000  0.5000  0.0000  2 Ag 2.52
Zr  0.5000  0.0000  0.0000  2 Ag 2.52
Ag  0.0000  0.0000  0.0000  2 Rh 2.43, 4 Zr 2.52
Sn  0.5000  0.5000  0.5000  8 Zr 3.50, 4 Rh 3.57
Rh  0.0000  0.0000  0.5000  2 Ag 2.43

Calculated values
N(E_F) = 4.410 states/eV/f.u.
Energy = -5.51 eV per atom

=====

15.
Computed, not measured: a geometry-optimized SrAgRh2 structure at the GGA-PBE level of DFT.

Unit cell a=2.9939 b=4.6906 c=5.6630 alpha=90.00 beta=99.90 gamma=90.00
Closest atoms and distances in Å follow each position.
Sites, in units of the cell vectors:
Sr  0.0000  0.0000  0.0000  2 Ag 2.97, 2 Sr 2.99, 4 Rh 3.12
Ag  0.5000  0.0000  0.5000  4 Rh 2.71, 2 Sr 2.97, 2 Ag 2.99
Rh  0.3081  0.5000  0.7022  4 Rh 2.68-2.99, 2 Ag 2.71
Rh  0.6919  0.5000  0.2978  4 Rh 2.68-2.99, 2 Ag 2.71

Calculated values
N(E_F) = 4.758 states/eV/f.u.
Energy = -4.59 eV per atom

=====

16.
Computed, not measured: a geometry-optimized Sr2Ag2Rh structure at the GGA-PBE level of DFT.

Unit cell a=7.4331 b=7.4331 c=4.6848 alpha=90.00 beta=90.00 gamma=90.00
Closest atoms and distances in Å follow each position.
Sites, in units of the cell vectors:
Sr  0.1824  0.3176  0.0000  6 Ag 3.04-3.33
Sr  0.3176  0.8176  0.0000  6 Ag 3.04-3.33
Sr  0.6824  0.1824  0.0000  6 Ag 3.04-3.33
Sr  0.8176  0.6824  0.0000  6 Ag 3.04-3.33
Ag  0.1330  0.6330  0.5000  1 Ag 2.80, 2 Rh 2.90, 2 Sr 3.04
Ag  0.3670  0.1330  0.5000  1 Ag 2.80, 2 Rh 2.90, 2 Sr 3.04
Ag  0.6330  0.8670  0.5000  1 Ag 2.80, 2 Rh 2.90, 2 Sr 3.04
Ag  0.8670  0.3670  0.5000  1 Ag 2.80, 2 Rh 2.90, 2 Sr 3.04
Rh  0.0000  0.0000  0.5000  4 Ag 2.90
Rh  0.5000  0.5000  0.5000  4 Ag 2.90

Calculated values
N(E_F) = 2.866 states/eV/f.u.
Energy = -3.36 eV per atom

=====

17.
Computed, not measured: a geometry-optimized SrAgRh2 structure at the GGA-PBE level of DFT.

Unit cell a=5.1209 b=5.1209 c=5.1209 alpha=130.27 beta=130.27 gamma=72.97
Closest atoms and distances in Å follow each position.
Sites, in units of the cell vectors:
Sr  0.0000  0.0000  0.0000  8 Rh 2.98, 4 Ag 3.05
Ag  0.5000  0.5000  0.0000  8 Rh 2.98, 4 Sr 3.05
Rh  0.2500  0.7500  0.5000  4 Sr 2.98, 4 Ag 2.98, 4 Rh 3.05
Rh  0.7500  0.2500  0.5000  4 Sr 2.98, 4 Ag 2.98, 4 Rh 3.05

Calculated values
N(E_F) = 5.751 states/eV/f.u.
Energy = -4.58 eV per atom

=====

18.
Computed, not measured: a geometry-optimized SrAgRh2 structure at the GGA-PBE level of DFT.

Unit cell a=10.0847 b=10.0847 c=10.0847 alpha=154.22 beta=154.22 gamma=36.77
Closest atoms and distances in Å follow each position.
Sites, in units of the cell vectors:
Sr  0.0000  0.0000  0.0000  4 Ag 3.18, 4 Rh 3.18
Sr  0.7500  0.2500  0.5000  4 Ag 3.18, 4 Rh 3.18
Ag  0.2500  0.7500  0.5000  4 Rh 2.69
Ag  0.5000  0.5000  0.0000  4 Rh 2.69
Rh  0.2687  0.6250  0.1437  2 Rh 2.44, 2 Ag 2.69
Rh  0.3750  0.5187  0.6437  2 Rh 2.44, 2 Ag 2.69
Rh  0.4813  0.1250  0.8563  2 Rh 2.44, 2 Ag 2.69
Rh  0.8750  0.7313  0.3563  2 Rh 2.44, 2 Ag 2.69

Calculated values
N(E_F) = 2.624 states/eV/f.u.
Energy = -4.55 eV per atom

=====

19.
Computed, not measured: a geometry-optimized SrAgRh2 structure at the GGA-PBE level of DFT.

Unit cell a=5.9015 b=5.9015 c=5.9015 alpha=149.66 beta=130.50 gamma=59.17
Closest atoms and distances in Å follow each position.
Sites, in units of the cell vectors:
Sr  0.0000  0.0000  0.0000  6 Rh 2.92-3.21, 2 Sr 3.09
Ag  0.7174  0.2174  0.5000  6 Rh 2.88-2.97, 2 Ag 3.09
Rh  0.2738  0.7738  0.5000  2 Rh 2.62
Rh  0.4801  0.4801  0.0000  2 Rh 2.62, 2 Ag 2.88, 4 Sr 2.92

Calculated values
N(E_F) = 5.348 states/eV/f.u.
Energy = -4.65 eV per atom

=====

20.
Computed, not measured: a geometry-optimized SrAg4Rh structure at the GGA-PBE level of DFT.

Unit cell a=5.5705 b=5.5705 c=5.5705 alpha=60.00 beta=60.00 gamma=60.00
Closest atoms and distances in Å follow each position.
Sites, in units of the cell vectors:
Sr  0.0000  0.0000  0.0000  12 Ag 3.27, 4 Rh 3.41
Ag  0.1270  0.6243  0.6243  6 Ag 2.77-2.80
Ag  0.6243  0.1270  0.6243  6 Ag 2.77-2.80
Ag  0.6243  0.6243  0.1270  6 Ag 2.77-2.80
Ag  0.6243  0.6243  0.6243  6 Ag 2.77-2.80
Rh  0.2500  0.2500  0.2500  12 Ag 3.26, 4 Sr 3.41

Calculated values
N(E_F) = 3.320 states/eV/f.u.
Energy = -3.38 eV per atom